The following is a DFT calculation (PBE) of an optimized crystal structure of Cs2ErThS4.

Calculated values
Formation energy (no corrections): -39.89 kcal/mol of atoms
Space-group type: P2/m (10)
Spin magnetization: 0.0 μB per formula unit

```
Cs2ErThS4
1.0
7.132 0.000 0.000
0.000 4.125 0.000
-2.368 0.000 8.109
Cs Er Th S
2 1 1 4
Direct
0.000 0.000 0.000
0.500 0.500 0.000
0.000 0.500 0.500
0.500 0.000 0.500
0.223 0.000 0.682
0.264 0.500 0.313
0.736 0.500 0.687
0.777 0.000 0.318
```